1.
The following is a PBE+U calculation of crystalline BaGd2Mn2O7 at its relaxed geometry, from Alexandria via LeMat-Bulk.

* M_tot: 1.83 μB/atom
* calculated density: 6.99 g cm⁻³
* E_tot: -9.23 eV per atom

Cell: 5.6436 5.6436 20.1072 Å, 90.00 90.00 90.00°
Last column: nearest neighbours and their distance in Å.
Element x y z (fractional)
1 Mn 0.7548 0.7548 0.6032  6 O 2.01-2.22
2 Mn 0.7548 0.7548 0.3968  6 O 2.01-2.22
3 Mn 0.7452 0.2548 0.1032  6 O 2.01-2.22
4 Mn 0.2452 0.2452 0.3968  6 O 2.01-2.22
5 Mn 0.2452 0.2452 0.6032  6 O 2.01-2.22
6 Mn 0.2548 0.7452 0.1032  6 O 2.01-2.22
7 Mn 0.7452 0.2548 0.8968  6 O 2.01-2.22
8 Mn 0.2548 0.7452 0.8968  6 O 2.01-2.22
9 Gd 0.7752 0.7752 0.1839  7 O 2.22-2.49
10 Gd 0.7752 0.7752 0.8161  7 O 2.22-2.49
11 Gd 0.2752 0.7248 0.6839  7 O 2.22-2.49
12 Gd 0.2248 0.2248 0.8161  7 O 2.22-2.49
13 Gd 0.7248 0.2752 0.3161  7 O 2.22-2.49
14 Gd 0.7248 0.2752 0.6839  7 O 2.22-2.49
15 Gd 0.2248 0.2248 0.1839  7 O 2.22-2.49
16 Gd 0.2752 0.7248 0.3161  7 O 2.22-2.49
17 O 0.5000 0.5000 0.8743  2 Mn 2.01
18 O 0.5000 0.0000 0.6132  2 Mn 2.01
19 O 0.1903 0.8097 0.2108  1 Mn 2.22, 3 Gd 2.22-2.41
20 O 0.5000 0.5000 0.5981  2 Mn 2.04
21 O 0.0000 0.0000 0.9019  2 Mn 2.04
22 O 0.5000 0.0000 0.8868  2 Mn 2.01
23 O 0.8097 0.1903 0.7892  1 Mn 2.22, 3 Gd 2.22-2.41
24 O 0.0000 0.5000 0.1132  2 Mn 2.01
25 O 0.2727 0.7273 0.0000  2 Mn 2.08
26 O 0.0000 0.5000 0.6132  2 Mn 2.01
27 O 0.0000 0.5000 0.3868  2 Mn 2.01
28 O 0.2273 0.2273 0.5000  2 Mn 2.08
29 O 0.5000 0.0000 0.3868  2 Mn 2.01
30 O 0.8097 0.1903 0.2108  1 Mn 2.22, 3 Gd 2.22-2.41
31 O 0.6903 0.6903 0.7108  1 Mn 2.22, 3 Gd 2.22-2.41
32 O 0.0000 0.5000 0.8868  2 Mn 2.01
33 O 0.5000 0.5000 0.1257  2 Mn 2.01
34 O 0.0000 0.0000 0.6257  2 Mn 2.01
35 O 0.1903 0.8097 0.7892  1 Mn 2.22, 3 Gd 2.22-2.41
36 O 0.7273 0.2727 0.0000  2 Mn 2.08
37 O 0.6903 0.6903 0.2892  1 Mn 2.22, 3 Gd 2.22-2.41
38 O 0.5000 0.5000 0.4019  2 Mn 2.04
39 O 0.5000 0.0000 0.1132  2 Mn 2.01
40 O 0.7727 0.7727 0.5000  2 Mn 2.08
41 O 0.3097 0.3097 0.2892  1 Mn 2.22, 3 Gd 2.22-2.41
42 O 0.0000 0.0000 0.0981  2 Mn 2.04
43 O 0.0000 0.0000 0.3743  2 Mn 2.01
44 O 0.3097 0.3097 0.7108  1 Mn 2.22, 3 Gd 2.22-2.41
45 Ba 0.7438 0.2562 0.5000  10 O 2.73-3.03
46 Ba 0.7562 0.7562 0.0000  10 O 2.73-3.03
47 Ba 0.2562 0.7438 0.5000  10 O 2.73-3.03
48 Ba 0.2438 0.2438 0.0000  10 O 2.73-3.03

=====

2.
The following is a PBE+U calculation of crystalline Ba2GdMoO6 at its relaxed geometry, from Alexandria via LeMat-Bulk.

* M_tot: 0.80 μB/atom
* calculated density: 6.60 g cm⁻³
* E_tot: -8.15 eV per atom

Cell: 6.0876 6.0322 6.0457 Å, 60.79 59.70 59.60°
Last column: nearest neighbours and their distance in Å.
Element x y z (fractional)
1 Ba 0.2490 0.7468 0.7551  8 O 2.81-3.15
2 Ba 0.7510 0.2532 0.2449  8 O 2.81-3.15
3 O 0.2402 0.2624 0.7864  1 Mo 2.05, 1 Gd 2.28
4 O 0.7599 0.7376 0.2136  1 Mo 2.05, 1 Gd 2.28
5 O 0.7158 0.2576 0.7900  1 Mo 2.05, 1 Gd 2.28
6 O 0.2720 0.1834 0.2739  1 Mo 1.95
7 O 0.7280 0.8166 0.7261  1 Mo 1.95
8 O 0.2842 0.7424 0.2100  1 Mo 2.05, 1 Gd 2.28
9 Mo 0.5000 0.0000 0.0000  6 O 1.95-2.05
10 Gd 0.0000 0.5000 0.5000  6 O 2.28-2.31